[1]
Entry from the Alexandria database: a relaxed structure of CeBS3 (PBE).

abc: 7.7307 5.9574 8.9581
angles: 90.00 90.00 90.00
Space group Pna2_1 (No. 33)
Inequivalent atoms, fractional coordinates:
Ce 0.1153 0.0754 0.0000
B 0.1486 0.5970 0.8289
S 0.0038 0.5919 0.9871
S 0.1719 0.8393 0.7061
S 0.2000 0.8666 0.2976

Values from the calculation:
Total moment: 1.0 μB per formula unit
E_form (uncorrected): -582 kJ/mol of formula units
N(E_F): 31.21 states/eV per cell

---

[2]
Entry from the Alexandria database: a relaxed structure of Na2YZn9 (PBE).

abc: 5.3809 5.3809 25.7001
angles: 90.00 90.00 120.00
Space group R-3m (No. 166, hexagonal axes)
Inequivalent atoms, fractional coordinates:
Na 0.0000 0.0000 0.1438
Y 0.0000 0.0000 0.0000
Zn 0.0000 0.0000 0.3342
Zn 0.0000 0.0000 0.5000
Zn 0.0031 0.5016 0.9179

Values from the calculation:
Total moment: 0.0 μB per formula unit
E_form: -1.6 eV per formula unit
N(E_F): 15.26 states/eV per cell

---

[3]
Entry from the Alexandria database: a relaxed structure of Rb2TcICl6 (PBE).

abc: 7.0482 7.0528 8.4853
angles: 70.78 70.86 60.26
Space group P1 (No. 1)
Inequivalent atoms, fractional coordinates:
Rb 0.0000 0.0000 0.0000
Rb 0.4085 0.4087 0.5037
Tc 0.6974 0.7111 0.7521
I 0.9506 0.4582 0.2521
Cl 0.0202 0.5520 0.8673
Cl 0.3872 0.8708 0.6218
Cl 0.5200 0.5333 0.0023
Cl 0.5408 0.0197 0.8829
Cl 0.8531 0.3898 0.6366
Cl 0.8757 0.8877 0.5018

Values from the calculation:
Total moment: 2.0 μB per formula unit
E_form (uncorrected): -1077 kJ/mol of formula units

---

[4]
Entry from the Alexandria database: a relaxed structure of Y7Ga2Pt2 (PBE).

abc: 7.9592 10.9518 7.0236
angles: 90.00 90.00 90.00
Space group Cmmm (No. 65)
Inequivalent atoms, fractional coordinates:
Y 0.0000 0.0000 0.0000
Y 0.0000 0.5000 0.2559
Y 0.2500 0.2500 0.2625
Ga 0.1664 0.0000 0.5000
Pt 0.0000 0.2899 0.0000

Values from the calculation:
Total moment: 0.0 μB per formula unit
E_form: -6.1 eV per formula unit
N(E_F): 21.02 states/eV per cell

---

[5]
Entry from the Alexandria database: a relaxed structure of BeHg2Te (PBE).

abc: 3.9057 4.5622 11.4997
angles: 90.00 90.00 90.00
Space group Amm2 (No. 38)
Inequivalent atoms, fractional coordinates:
Be 0.0000 0.0000 0.0000
Hg 0.0000 0.0000 0.5847
Hg 0.5000 0.0000 0.1926
Te 0.5000 0.0000 0.8772

Values from the calculation:
Total moment: 0.0 μB per formula unit
E_form (uncorrected): 20 kJ/mol of formula units
N(E_F): 1.59 states/eV per cell

---

[6]
Entry from the Alexandria database: a relaxed structure of YZr2Zn (PBE).

abc: 3.3019 3.3019 8.3570
angles: 90.00 90.00 90.00
Space group P4/mmm (No. 123)
Inequivalent atoms, fractional coordinates:
Y 0.0000 0.0000 0.0000
Zr 0.5000 0.5000 0.2885
Zn 0.0000 0.0000 0.5000

Values from the calculation:
Total moment: 0.0 μB per formula unit
E_form: -0.1 eV per formula unit
N(E_F): 5.59 states/eV per cell

---

[7]
Entry from the Alexandria database: a relaxed structure of BaTeN3 (PBE).

abc: 4.5509 4.5509 4.5509
angles: 90.00 90.00 90.00
Space group Pm-3m (No. 221)
Inequivalent atoms, fractional coordinates:
Ba 0.0000 0.0000 0.0000
Te 0.5000 0.5000 0.5000
N 0.0000 0.0000 0.5000

Values from the calculation:
Total moment: 1.1 μB per formula unit
E_form (uncorrected): 1183 kJ/mol of formula units
N(E_F): 3.95 states/eV per cell

---

[8]
Entry from the Alexandria database: a relaxed structure of YC (PBE).

abc: 6.2430 6.2430 6.2430
angles: 90.00 90.00 90.00
Space group Fd-3m (No. 227, origin choice 2)
Inequivalent atoms, fractional coordinates:
Y 0.1250 0.1250 0.1250
C 0.1250 0.1250 0.6250

Values from the calculation:
Total moment: 0.0 μB per formula unit
E_form: 3.9 eV per formula unit
N(E_F): 18.83 states/eV per cell

---

[9]
Entry from the Alexandria database: a relaxed structure of AlPb4Se (PBE).

abc: 9.0667 9.0667 9.0667
angles: 90.00 90.00 90.00
Space group F-43m (No. 216)
Inequivalent atoms, fractional coordinates:
Al 0.0000 0.0000 0.0000
Pb 0.1255 0.1255 0.6255
Se 0.2500 0.2500 0.2500

Values from the calculation:
Total moment: 0.0 μB per formula unit
E_form (uncorrected): 208 kJ/mol of formula units
N(E_F): 17.59 states/eV per cell

---

[10]
Entry from the Alexandria database: a relaxed structure of BaCuIr2 (PBE).

abc: 6.7585 6.7585 6.7585
angles: 90.00 90.00 90.00
Space group Fm-3m (No. 225)
Inequivalent atoms, fractional coordinates:
Ba 0.0000 0.0000 0.0000
Cu 0.0000 0.0000 0.5000
Ir 0.2500 0.2500 0.2500

Values from the calculation:
Total moment: 0.0 μB per formula unit
E_form: 3.8 eV per formula unit
N(E_F): 25.56 states/eV per cell

---

[11]
Entry from the Alexandria database: a relaxed structure of Rb3PbC (PBE).

abc: 6.1217 6.1217 6.1217
angles: 90.00 90.00 90.00
Space group Pm-3m (No. 221)
Inequivalent atoms, fractional coordinates:
Rb 0.0000 0.0000 0.5000
Pb 0.5000 0.5000 0.5000
C 0.0000 0.0000 0.0000

Values from the calculation:
Total moment: 4.5 μB per formula unit
E_form: 4.8 eV per formula unit
N(E_F): 6.27 states/eV per cell

---

[12]
Entry from the Alexandria database: a relaxed structure of K2Na2Au (PBE).

abc: 5.4660 5.4660 28.2103
angles: 90.00 90.00 90.00
Space group I4_1/amd (No. 141, origin choice 2)
Inequivalent atoms, fractional coordinates:
K 0.0000 0.2500 0.0569
Na 0.0000 0.2500 0.1856
Au 0.0000 0.2500 0.3750

Values from the calculation:
Total moment: 0.0 μB per formula unit
E_form: -0.5 eV per formula unit
N(E_F): 7.22 states/eV per cell